Entry 1:
Compound: NaTl2Sb
Source: the Alexandria database
Functional: PBE
Structure: optimized geometry

abc: 4.076 4.076 7.143
angles: 90.00 90.00 90.00
Space group P4/mmm (No. 123)
One atom of each set of equivalent atoms:
Na: 0.000 0.000 0.000 [1 per cell]
Tl: 0.500 0.500 0.267 [2 per cell]
Sb: 0.000 0.000 0.500 [1 per cell]

Properties
total moment	0.00	μB/f.u.
D(E_F)	0.518	states/eV per atom
E_form (uncorrected)	-95.6	meV per atom

=====

Entry 2:
Compound: PmNdSiRh
Source: the Alexandria database
Functional: PBE
Structure: optimized geometry

abc: 4.137 4.302 10.665
angles: 90.00 90.00 90.00
Space group Amm2 (No. 38)
One atom of each set of equivalent atoms:
Pm: 0.000 0.000 0.000 [2 per cell]
Nd: 0.500 0.000 0.718 [2 per cell]
Si: 0.000 0.000 0.296 [2 per cell]
Rh: 0.500 0.000 0.433 [2 per cell]

Properties
total moment	0.00	μB/f.u.
D(E_F)	0.777	states/eV per atom
E_form (uncorrected)	-758.4	meV per atom

=====

Entry 3:
Compound: PuCrNi2H8
Source: the Alexandria database
Functional: PBE
Structure: optimized geometry

abc: 4.4477 4.4477 16.2106
angles: 90.00 90.00 120.00
Space group R-3 (No. 148, hexagonal axes)
One atom of each set of equivalent atoms:
Pu: 0.0000 0.0000 0.0000 [3 per cell]
Cr: 0.0000 0.0000 0.5000 [3 per cell]
Ni: 0.0000 0.0000 0.2156 [6 per cell]
H: 0.0000 0.0000 0.3138 [6 per cell]
H: 0.0196 0.3756 0.7777 [18 per cell]

Properties
total moment	8.27	μB/f.u.
energy	-5.2431	eV per atom
D(E_F)	1.150	states/eV per atom